Record 1
A plane-wave DFT calculation with GGA-PBE was carried out for a relaxed Pu2ThSc crystal.

As for the excess energy over the best structure of this formula in the dataset: 6.0 kJ/mol of atoms. As for the formation energy: 201.8 meV per atom. The magnetic moment is 0.37 Bohr magnetons per cell.

It has space group R3m (No. 160, hexagonal axes), with a = 3.3884 Å, b = 3.3884 Å, c = 33.2910 Å, α = 90.00°, β = 90.00° and γ = 120.00°. The distinct sites, in fractional coordinates, are Pu at (0.0000, 0.0000, 0.0000), Pu at (0.0000, 0.0000, 0.1731), Th at (0.0000, 0.0000, 0.7523) and Sc at (0.0000, 0.0000, 0.5865).

---

Record 2
A plane-wave DFT calculation with GGA-PBE was carried out for a relaxed Na3NiS crystal.

As for the excess energy over the best structure of this formula in the dataset: 0.0 kJ/mol of atoms. For the uncorrected formation energy, the calculation gives -25 meV/atom. The magnetic moment is 1.00 Bohr magnetons per cell.

It has space group Pm-3m (No. 221), with a = 5.281 Å, b = 5.281 Å, c = 5.281 Å, α = 90.00°, β = 90.00° and γ = 90.00°. The distinct sites, in fractional coordinates, are Na at (0.000, 0.000, 0.500), Ni at (0.500, 0.500, 0.500) and S at (0.000, 0.000, 0.000).

---

Record 3
A plane-wave DFT calculation with GGA-PBE was carried out for a relaxed Tb5Er2Ir4 crystal.

As for the formation energy: -673.8 meV per atom. The magnetic moment is 0.00 Bohr magnetons per cell.

It has space group C2/m (No. 12), with a = 21.720 Å, b = 4.416 Å, c = 5.887 Å, α = 90.00°, β = 90.45° and γ = 90.00°. The distinct sites, in fractional coordinates, are Tb at (0.000, 0.000, 0.000), Tb at (0.082, 0.000, 0.505), Tb at (0.118, 0.500, 0.983), Er at (0.238, 0.000, 0.261), Ir at (0.000, 0.500, 0.282) and Ir at (0.185, 0.000, 0.797).

---

Record 4
A plane-wave DFT calculation with GGA-PBE was carried out for a relaxed Pr2Dy2Y4Ho crystal.

As for the formation energy: -2.7 meV per atom. The magnetic moment is 0.00 Bohr magnetons per cell.

It has space group C2/m (No. 12), with a = 18.794 Å, b = 3.625 Å, c = 9.625 Å, α = 90.00°, β = 115.69° and γ = 90.00°. The distinct sites, in fractional coordinates, are Pr at (0.165, 0.000, 0.497), Dy at (0.147, 0.500, 0.163), Y at (0.019, 0.000, 0.835), Y at (0.186, 0.500, 0.835) and Ho at (0.000, 0.500, 0.500).

---

Record 5
A plane-wave DFT calculation with GGA-PBE was carried out for a relaxed Y3Er2Ni2 crystal.

As for the formation energy: -249.3 meV per atom. The magnetic moment is 0.00 Bohr magnetons per cell.

It has space group C2/m (No. 12), with a = 12.163 Å, b = 3.589 Å, c = 8.975 Å, α = 90.00°, β = 116.11° and γ = 90.00°. The distinct sites, in fractional coordinates, are Y at (0.000, 0.000, 0.000), Y at (0.114, 0.000, 0.432), Er at (0.170, 0.500, 0.812) and Ni at (0.177, 0.500, 0.237).

---

Record 6
A plane-wave DFT calculation with GGA-PBE was carried out for a relaxed CaInAs2 crystal.

As for the formation energy: -245.6 meV per atom. The magnetic moment is 0.00 Bohr magnetons per cell.

It has space group P4mm (No. 99), with a = 3.820 Å, b = 3.820 Å, c = 6.522 Å, α = 90.00°, β = 90.00° and γ = 90.00°. The distinct sites, in fractional coordinates, are Ca at (0.000, 0.000, 0.000), In at (0.500, 0.500, 0.312), As at (0.000, 0.000, 0.545) and As at (0.500, 0.500, 0.734).

---

Record 7
A plane-wave DFT calculation with GGA-PBE was carried out for a relaxed La3CeCo2 crystal.

As for the formation energy: -103.9 meV per atom. The magnetic moment is 0.00 Bohr magnetons per cell.

It has space group P-1 (No. 2), with a = 3.981 Å, b = 6.708 Å, c = 6.743 Å, α = 96.50°, β = 106.45° and γ = 90.33°. The distinct sites, in fractional coordinates, are La at (0.000, 0.000, 0.000), La at (0.261, 0.740, 0.515), Ce at (0.500, 0.500, 0.000) and Co at (0.112, 0.377, 0.213).

---

Record 8
A plane-wave DFT calculation with GGA-PBE was carried out for a relaxed CoNiPt6 crystal.

As for the excess energy over the best structure of this formula in the dataset: 21.6 kJ/mol of atoms. As for the formation energy: 147.5 meV per atom. The magnetic moment is 4.31 Bohr magnetons per cell.

It has space group P-1 (No. 2), with a = 4.601 Å, b = 4.810 Å, c = 5.796 Å, α = 79.10°, β = 87.29° and γ = 80.86°. The distinct sites, in fractional coordinates, are Co at (0.000, 0.000, 0.000), Ni at (0.500, 0.500, 0.500), Pt at (0.032, 0.228, 0.567), Pt at (0.252, 0.497, 0.886) and Pt at (0.450, 0.048, 0.237).

---

Record 9
A plane-wave DFT calculation with GGA-PBE was carried out for a relaxed TaCoCu2 crystal.

As for the excess energy over the best structure of this formula in the dataset: 0.0 kJ/mol of atoms. As for the formation energy: 25.0 meV per atom. The magnetic moment is 0.00 Bohr magnetons per cell.

It has space group I-4m2 (No. 119), with a = 3.758 Å, b = 3.758 Å, c = 7.358 Å, α = 90.00°, β = 90.00° and γ = 90.00°. The distinct sites, in fractional coordinates, are Ta at (0.000, 0.000, 0.000), Co at (0.000, 0.500, 0.750), Cu at (0.000, 0.000, 0.500) and Cu at (0.000, 0.500, 0.250).

---

Record 10
A plane-wave DFT calculation with GGA-PBE was carried out for a relaxed Sm3DyGa4 crystal.

As for the excess energy over the best structure of this formula in the dataset: 0.0 kJ/mol of atoms. As for the formation energy: -578.1 meV per atom. The magnetic moment is 0.00 Bohr magnetons per cell.

It has space group P4/mmm (No. 123), with a = 3.629 Å, b = 3.629 Å, c = 14.531 Å, α = 90.00°, β = 90.00° and γ = 90.00°. The distinct sites, in fractional coordinates, are Sm at (0.000, 0.000, 0.000), Sm at (0.000, 0.000, 0.253), Dy at (0.000, 0.000, 0.500), Ga at (0.500, 0.500, 0.127) and Ga at (0.500, 0.500, 0.382).

---

Record 11
A plane-wave DFT calculation with GGA-PBE was carried out for a relaxed MgZr2Ta2Ir5 crystal.

As for the formation energy: -363.8 meV per atom. The magnetic moment is 0.00 Bohr magnetons per cell.

It has space group P4/mbm (No. 127), with a = 9.576 Å, b = 9.576 Å, c = 3.886 Å, α = 90.00°, β = 90.00° and γ = 90.00°. The distinct sites, in fractional coordinates, are Mg at (0.000, 0.000, 0.000), Zr at (0.172, 0.328, 0.000), Ta at (0.129, 0.629, 0.000), Ir at (0.000, 0.500, 0.500) and Ir at (0.064, 0.798, 0.500).

---

Record 12
A plane-wave DFT calculation with GGA-PBE was carried out for a relaxed BaLiAg2Pb crystal.

As for the excess energy over the best structure of this formula in the dataset: 56.0 kJ/mol of atoms. As for the formation energy: 335.4 meV per atom. The magnetic moment is 0.00 Bohr magnetons per cell.

It has space group P4/mmm (No. 123), with a = 5.537 Å, b = 5.537 Å, c = 6.636 Å, α = 90.00°, β = 90.00° and γ = 90.00°. The distinct sites, in fractional coordinates, are Ba at (0.000, 0.000, 0.000), Li at (0.500, 0.500, 0.000), Ag at (0.000, 0.500, 0.500) and Pb at (0.000, 0.000, 0.500).

---

Record 13
A plane-wave DFT calculation with GGA-PBE was carried out for a relaxed LaTePtI2 crystal.

As for the excess energy over the best structure of this formula in the dataset: 0.0 kJ/mol of atoms. For the uncorrected formation energy, the calculation gives -471 meV/atom. The magnetic moment is 0.00 Bohr magnetons per cell.

It has space group P4/mmm (No. 123), with a = 5.417 Å, b = 5.417 Å, c = 5.510 Å, α = 90.00°, β = 90.00° and γ = 90.00°. The distinct sites, in fractional coordinates, are La at (0.000, 0.000, 0.000), Te at (0.500, 0.500, 0.000), Pt at (0.500, 0.500, 0.500) and I at (0.000, 0.500, 0.500).

---

Record 14
A plane-wave DFT calculation with GGA-PBE was carried out for a relaxed TlTePt crystal.

For the uncorrected formation energy, the calculation gives -92 meV/atom. The magnetic moment is 0.00 Bohr magnetons per cell.

It has space group C2/c (No. 15), with a = 9.647 Å, b = 6.521 Å, c = 5.813 Å, α = 90.00°, β = 126.11° and γ = 90.00°. The distinct sites, in fractional coordinates, are Tl at (0.000, 0.131, 0.250), Te at (0.250, 0.250, 0.000) and Pt at (0.000, 0.500, 0.000).

---

Record 15
A plane-wave DFT calculation with GGA-PBE was carried out for a relaxed TbHo2Hg crystal.

As for the excess energy over the best structure of this formula in the dataset: 0.6 kJ/mol of atoms. As for the formation energy: -229.6 meV per atom. The magnetic moment is 0.00 Bohr magnetons per cell.

It has space group P4/mmm (No. 123), with a = 3.589 Å, b = 3.589 Å, c = 8.895 Å, α = 90.00°, β = 90.00° and γ = 90.00°. The distinct sites, in fractional coordinates, are Tb at (0.000, 0.000, 0.000), Ho at (0.500, 0.500, 0.278) and Hg at (0.000, 0.000, 0.500).

---

Record 16
A plane-wave DFT calculation with GGA-PBE was carried out for a relaxed CaRh crystal.

As for the formation energy: -126.4 meV per atom. The magnetic moment is 0.00 Bohr magnetons per cell.

It has space group I4_1/amd (No. 141, origin choice 2), with a = 4.102 Å, b = 4.102 Å, c = 9.583 Å, α = 90.00°, β = 90.00° and γ = 90.00°. The distinct sites, in fractional coordinates, are Ca at (0.000, 0.250, 0.375) and Rh at (0.000, 0.250, 0.875).

---

Record 17
A plane-wave DFT calculation with GGA-PBE was carried out for a relaxed PaCrN crystal.

As for the excess energy over the best structure of this formula in the dataset: 15.5 kJ/mol of atoms. For the uncorrected formation energy, the calculation gives -415 meV/atom. The magnetic moment is 1.61 Bohr magnetons per cell.

It has space group P3m1 (No. 156), with a = 3.0942 Å, b = 3.0942 Å, c = 5.3350 Å, α = 90.00°, β = 90.00° and γ = 120.00°. The distinct sites, in fractional coordinates, are Pa at (0.0000, 0.0000, 0.0000), Cr at (0.6667, 0.3333, 0.4770) and N at (0.3333, 0.6667, 0.3252).

---

Record 18
A plane-wave DFT calculation with GGA-PBE was carried out for a relaxed Sm3NpRu3 crystal.

As for the formation energy: -164.0 meV per atom. The magnetic moment is 8.73 Bohr magnetons per cell.

It has space group C2/m (No. 12), with a = 12.151 Å, b = 4.034 Å, c = 14.640 Å, α = 90.00°, β = 113.51° and γ = 90.00°. The distinct sites, in fractional coordinates, are Sm at (0.032, 0.000, 0.297), Sm at (0.127, 0.500, 0.134), Sm at (0.177, 0.000, 0.572), Np at (0.167, 0.500, 0.896), Ru at (0.039, 0.500, 0.431), Ru at (0.090, 0.000, 0.963) and Ru at (0.180, 0.500, 0.744).

---

Record 19
A plane-wave DFT calculation with GGA-PBE was carried out for a relaxed PmTlRh2 crystal.

As for the excess energy over the best structure of this formula in the dataset: 12.2 kJ/mol of atoms. As for the formation energy: -341.6 meV per atom. The magnetic moment is 0.00 Bohr magnetons per cell.

It has space group P4/mmm (No. 123), with a = 3.498 Å, b = 3.498 Å, c = 6.490 Å, α = 90.00°, β = 90.00° and γ = 90.00°. The distinct sites, in fractional coordinates, are Pm at (0.000, 0.000, 0.000), Tl at (0.000, 0.000, 0.500) and Rh at (0.500, 0.500, 0.264).

---

Record 20
A plane-wave DFT calculation with GGA-PBE was carried out for a relaxed Tm5Hg2Pd2 crystal.

As for the formation energy: -615.6 meV per atom. The magnetic moment is 0.00 Bohr magnetons per cell.

It has space group Cmce (No. 64), with a = 15.733 Å, b = 7.585 Å, c = 7.469 Å, α = 90.00°, β = 90.00° and γ = 90.00°. The distinct sites, in fractional coordinates, are Tm at (0.000, 0.000, 0.000), Tm at (0.127, 0.174, 0.333), Hg at (0.214, 0.000, 0.000) and Pd at (0.000, 0.131, 0.632).

---

Record 21
A plane-wave DFT calculation with GGA-PBE was carried out for a relaxed Er3GaRu2 crystal.

As for the formation energy: -511.0 meV per atom. The magnetic moment is 0.00 Bohr magnetons per cell.

It has space group P4/mmm (No. 123), with a = 3.429 Å, b = 3.429 Å, c = 10.349 Å, α = 90.00°, β = 90.00° and γ = 90.00°. The distinct sites, in fractional coordinates, are Er at (0.000, 0.000, 0.000), Er at (0.000, 0.000, 0.318), Ga at (0.500, 0.500, 0.500) and Ru at (0.500, 0.500, 0.166).

---

Record 22
A plane-wave DFT calculation with GGA-PBE was carried out for a relaxed BaAl2Rh crystal.

As for the formation energy: 342.8 meV per atom. The magnetic moment is 0.00 Bohr magnetons per cell.

It has space group C2/m (No. 12), with a = 5.774 Å, b = 9.949 Å, c = 3.163 Å, α = 90.00°, β = 101.61° and γ = 90.00°. The distinct sites, in fractional coordinates, are Ba at (0.000, 0.000, 0.000), Al at (0.250, 0.250, 0.500) and Rh at (0.000, 0.500, 0.000).

---

Record 23
A plane-wave DFT calculation with GGA-PBE was carried out for a relaxed K2NaLi crystal.

As for the excess energy over the best structure of this formula in the dataset: 9.0 kJ/mol of atoms. As for the formation energy: 191.4 meV per atom. The magnetic moment is 0.00 Bohr magnetons per cell.

It has space group R-3m (No. 166, hexagonal axes), with a = 4.0921 Å, b = 4.0921 Å, c = 41.9145 Å, α = 90.00°, β = 90.00° and γ = 120.00°. The distinct sites, in fractional coordinates, are K at (0.0000, 0.0000, 0.0851), Na at (0.0000, 0.0000, 0.5000) and Li at (0.0000, 0.0000, 0.0000).

---

Record 24
A plane-wave DFT calculation with GGA-PBE was carried out for a relaxed Sr2Hg2Pt crystal.

As for the excess energy over the best structure of this formula in the dataset: 0.0 kJ/mol of atoms. As for the formation energy: -616.6 meV per atom. The magnetic moment is 0.00 Bohr magnetons per cell.

It has space group C2/m (No. 12), with a = 11.646 Å, b = 4.402 Å, c = 12.231 Å, α = 90.00°, β = 112.83° and γ = 90.00°. The distinct sites, in fractional coordinates, are Sr at (0.003, 0.000, 0.338), Sr at (0.189, 0.000, 0.128), Hg at (0.036, 0.500, 0.889), Hg at (0.162, 0.500, 0.555) and Pt at (0.193, 0.500, 0.314).

---

Record 25
A plane-wave DFT calculation with GGA-PBE was carried out for a relaxed NaInAgH2 crystal.

The value obtained for the raw total energy is -2.47 eV/atom. The magnetic moment is 0.00 Bohr magnetons per cell.

It has space group P4/mmm (No. 123), with a = 4.062 Å, b = 4.062 Å, c = 5.634 Å, α = 90.00°, β = 90.00° and γ = 90.00°. The distinct sites, in fractional coordinates, are Na at (0.000, 0.000, 0.000), In at (0.500, 0.500, 0.500), Ag at (0.500, 0.500, 0.000) and H at (0.000, 0.500, 0.500).